No. 1
VASP calculation (GGA-PBE) on crystalline AcCdNi4 at its relaxed geometry.

Structure (CIF):
```
data_AcCdNi4
_symmetry_space_group_name_H-M 'F -4 3 m'
_symmetry_Int_Tables_number 216
_symmetry_space_group_name_Hall 'F -4 2 3'
_cell_length_a 7.310
_cell_length_b 7.310
_cell_length_c 7.310
_cell_angle_alpha 90.00
_cell_angle_beta 90.00
_cell_angle_gamma 90.00
loop_
_atom_site_label
_atom_site_type_symbol
_atom_site_fract_x
_atom_site_fract_y
_atom_site_fract_z
Ac1 Ac 0.000 0.000 0.000
Cd1 Cd 0.250 0.250 0.750
Ni1 Ni 0.123 0.123 0.377
```

ΔE_f: -0.149 eV per atom
D(E_F): 33.92 states/eV/cell



No. 2
VASP calculation (GGA-PBE) on crystalline AcYGaCu at its relaxed geometry.

Structure (CIF):
```
data_AcYGaCu
_symmetry_space_group_name_H-M 'F -4 3 m'
_symmetry_Int_Tables_number 216
_symmetry_space_group_name_Hall 'F -4 2 3'
_cell_length_a 7.455
_cell_length_b 7.455
_cell_length_c 7.455
_cell_angle_alpha 90.00
_cell_angle_beta 90.00
_cell_angle_gamma 90.00
loop_
_atom_site_label
_atom_site_type_symbol
_atom_site_fract_x
_atom_site_fract_y
_atom_site_fract_z
Ac1 Ac 0.000 0.000 0.000
Y1 Y 0.000 0.000 0.500
Ga1 Ga 0.250 0.250 0.750
Cu1 Cu 0.250 0.250 0.250
```

ΔE_f: -0.290 eV per atom
D(E_F): 13.40 states/eV/cell



No. 3
VASP calculation (GGA-PBE) on crystalline RbBi6Au3 at its relaxed geometry.

Structure (CIF):
```
data_RbBi6Au3
_symmetry_space_group_name_H-M 'P 1 21/m 1'
_symmetry_Int_Tables_number 11
_cell_length_a 12.340
_cell_length_b 4.350
_cell_length_c 12.431
_cell_angle_alpha 90.00
_cell_angle_beta 97.26
_cell_angle_gamma 90.00
loop_
_symmetry_equiv_pos_as_xyz
'x,y,z'
'-x,-y,-z'
'-x,y+1/2,-z'
'x,-y+1/2,z'
loop_
_atom_site_label
_atom_site_type_symbol
_atom_site_fract_x
_atom_site_fract_y
_atom_site_fract_z
Rb1 Rb 0.023 0.250 0.211
Bi1 Bi 0.103 0.750 0.495
Bi2 Bi 0.215 0.250 0.968
Bi3 Bi 0.245 0.250 0.683
Bi4 Bi 0.349 0.250 0.247
Bi5 Bi 0.399 0.750 0.510
Bi6 Bi 0.447 0.250 0.900
Au1 Au 0.245 0.250 0.442
Au2 Au 0.271 0.750 0.111
Au3 Au 0.408 0.750 0.742
```

ΔE_f: -0.078 eV per atom
D(E_F): 8.19 states/eV/cell



No. 4
VASP calculation (GGA-PBE) on crystalline K2SrLa at its relaxed geometry.

Structure (CIF):
```
data_K2SrLa
_symmetry_space_group_name_H-M 'P m m m'
_symmetry_Int_Tables_number 47
_cell_length_a 4.089
_cell_length_b 6.959
_cell_length_c 7.453
_cell_angle_alpha 90.00
_cell_angle_beta 90.00
_cell_angle_gamma 90.00
loop_
_symmetry_equiv_pos_as_xyz
'x,y,z'
'-x,-y,-z'
'-x,-y,z'
'x,y,-z'
'x,-y,-z'
'-x,y,z'
'-x,y,-z'
'x,-y,z'
loop_
_atom_site_label
_atom_site_type_symbol
_atom_site_fract_x
_atom_site_fract_y
_atom_site_fract_z
K1 K 0.000 0.000 0.000
K2 K 0.500 0.500 0.000
Sr1 Sr 0.000 0.500 0.500
La1 La 0.500 0.000 0.500
```

ΔE_f: 0.327 eV per atom
D(E_F): 5.56 states/eV/cell
offset from the most stable computed form: 133.9 meV per atom



No. 5
VASP calculation (GGA-PBE) on crystalline CeHoTlHg at its relaxed geometry.

Structure (CIF):
```
data_CeHoTlHg
_symmetry_space_group_name_H-M 'F -4 3 m'
_symmetry_Int_Tables_number 216
_symmetry_space_group_name_Hall 'F -4 2 3'
_cell_length_a 7.623
_cell_length_b 7.623
_cell_length_c 7.623
_cell_angle_alpha 90.00
_cell_angle_beta 90.00
_cell_angle_gamma 90.00
loop_
_atom_site_label
_atom_site_type_symbol
_atom_site_fract_x
_atom_site_fract_y
_atom_site_fract_z
Ce1 Ce 0.000 0.000 0.000
Ho1 Ho 0.000 0.000 0.500
Tl1 Tl 0.250 0.250 0.250
Hg1 Hg 0.250 0.250 0.750
```

ΔE_f: -0.323 eV per atom
D(E_F): 42.31 states/eV/cell



No. 6
VASP calculation (GGA-PBE) on crystalline LiAg5 at its relaxed geometry.

Structure (CIF):
```
data_LiAg5
_symmetry_space_group_name_H-M 'C m m m'
_symmetry_Int_Tables_number 65
_symmetry_space_group_name_Hall '-C 2 2'
_cell_length_a 4.042
_cell_length_b 12.622
_cell_length_c 4.082
_cell_angle_alpha 90.00
_cell_angle_beta 90.00
_cell_angle_gamma 90.00
loop_
_atom_site_label
_atom_site_type_symbol
_atom_site_fract_x
_atom_site_fract_y
_atom_site_fract_z
Li1 Li 0.000 0.000 0.000
Ag1 Ag 0.000 0.165 0.500
Ag2 Ag 0.000 0.336 0.000
Ag3 Ag 0.000 0.500 0.500
```

ΔE_f: -0.084 eV per atom
D(E_F): 1.08 states/eV/cell
offset from the most stable computed form: 0.0 meV per atom